The following is a GGA-PBEsol calculation of a relaxed structure of RbCdS2, from the Alexandria database.

Cell: 7.597 7.597 7.616 Å, 90.00 90.00 90.00°
Space group I-42d (No. 122)
One atom of each set of equivalent atoms:
1 Rb 0.000 0.000 0.000
2 Cd 0.000 0.000 0.500
3 S 0.166 0.250 0.625

## Properties
E: -0.2416 Ry/atom
Size of the total moment: 0.0 μB/f.u.
Uncorrected formation energy: -12.438 kcal/mol of atoms
Density: 4.0 Mg/m³